<w>
{"formula": "Y2IrRh", "functional": "SCAN", "state": "PBEsol geometry", "cell": [[-0.1654, 1.8708, -2.6446], [3.2284, -2.4656, -1.9462], [-3.8703, -3.3745, -2.1451]], "species": ["Ir", "Y", "Y", "Rh"], "fractional_positions": [[0.0000, 0.0000, 0.4314], [0.5000, 0.5000, 0.3242], [0.0000, 0.0000, 0.9284], [0.5000, 0.5000, 0.8161]], "density_g_cm3": 9.66, "n_ef_per_ev_cell": 1.44, "sg": "Pmm2 (25)", "magnetic_moment_mub_per_cell": 0.0}

=====

<x>
{"formula": "Y2IrRh", "functional": "SCAN", "state": "PBEsol geometry", "cell": [[3.3027, 0.0000, 0.0000], [0.0000, 4.8331, 0.0006], [0.0000, -0.0651, 4.8327]], "species": ["Rh", "Ir", "Y", "Y"], "fractional_positions": [[0.5000, 0.5000, 0.5000], [0.5000, 0.0000, 0.0000], [0.0000, 0.0000, 0.5000], [0.0000, 0.5000, 0.0000]], "density_g_cm3": 10.18, "n_ef_per_ev_cell": 1.55, "sg": "Cmmm (65)", "magnetic_moment_mub_per_cell": 0.0}

=====

It is <w> that is the least stable of them.

=====

<w>
{"formula": "Y2IrRh", "functional": "SCAN", "state": "PBEsol geometry", "cell": [[4.7785, 0.0000, 0.0000], [2.3893, 4.1383, 0.0000], [2.3893, 1.3794, 3.9017]], "species": ["Ir", "Y", "Y", "Rh"], "fractional_positions": [[0.0000, 0.0000, 0.0000], [0.2500, 0.2500, 0.2500], [0.7500, 0.7500, 0.7500], [0.5000, 0.5000, 0.5000]], "density_g_cm3": 10.18, "n_ef_per_ev_cell": 1.52, "sg": "Fm-3m (225)", "magnetic_moment_mub_per_cell": 0.0}

=====

<x>
{"formula": "Y2IrRh", "functional": "SCAN", "state": "PBEsol geometry", "cell": [[3.8049, 0.0000, 0.0000], [0.0000, 4.1459, 0.0000], [-1.9025, 0.0000, 5.2178]], "species": ["Ir", "Y", "Y", "Rh"], "fractional_positions": [[0.4552, 0.5000, 0.9104], [0.7311, 0.5000, 0.4623], [0.0199, 0.0000, 0.0399], [0.2937, 0.0000, 0.5874]], "density_g_cm3": 9.54, "n_ef_per_ev_cell": 1.09, "sg": "Amm2 (38)", "magnetic_moment_mub_per_cell": 0.0}

=====

It is <x> that is the least stable of them.

=====

<w>
{"formula": "Ir2Ru", "functional": "SCAN", "state": "PBEsol geometry", "cell": [[-0.1051, 0.5282, -3.7672], [2.6854, -2.6591, -0.4477], [-9.3774, -6.9506, 1.2091]], "species": ["Ru", "Ru", "Ru", "Ru", "Ir", "Ir", "Ir", "Ir", "Ir", "Ir", "Ir", "Ir"], "fractional_positions": [[0.0844, 0.0844, 0.1688], [0.3344, 0.8344, 0.6688], [0.1656, 0.6656, 0.3312], [0.9156, 0.9156, 0.8312], [0.5006, 0.0006, 0.0013], [0.2506, 0.2506, 0.5013], [0.9994, 0.4994, 0.9987], [0.5838, 0.5838, 0.1676], [0.7494, 0.7494, 0.4987], [0.6662, 0.1662, 0.3324], [0.8338, 0.3338, 0.6676], [0.4162, 0.4162, 0.8324]], "density_g_cm3": 19.49, "n_ef_per_ev_cell": 9.10, "sg": "I4_1/amd (141)", "magnetic_moment_mub_per_cell": 0.0}

=====

<x>
{"formula": "Ir2Ru", "functional": "SCAN", "state": "PBEsol geometry", "cell": [[2.7132, 0.0000, 0.0000], [-1.3566, 4.9289, 0.0014], [0.0000, -1.5648, 6.1994]], "species": ["Ru", "Ru", "Ir", "Ir", "Ir", "Ir"], "fractional_positions": [[0.7205, 0.4410, 0.9415], [0.0571, 0.1142, 0.6143], [0.6661, 0.3322, 0.3347], [0.3889, 0.7778, 0.2771], [0.3333, 0.6667, 0.6677], [0.0007, 0.0014, 0.9980]], "density_g_cm3": 19.45, "n_ef_per_ev_cell": 5.52, "sg": "Cm (8)", "magnetic_moment_mub_per_cell": 0.0}

=====

It is <x> that is the least stable of them.

=====

<w>
{"formula": "Ir2Ru", "functional": "SCAN", "state": "PBEsol geometry", "cell": [[-2.6647, -1.3209, -2.3744], [-2.6184, -2.1946, 4.1596], [-4.2235, 6.8256, 0.9426]], "species": ["Ir", "Ir", "Ir", "Ir", "Ir", "Ir", "Ir", "Ir", "Ru", "Ru", "Ru", "Ru"], "fractional_positions": [[0.7500, 0.3733, 0.0839], [0.2500, 0.1248, 0.2472], [0.7500, 0.3752, 0.7472], [0.2500, 0.6248, 0.2528], [0.7500, 0.8733, 0.4161], [0.2500, 0.6267, 0.9161], [0.7500, 0.8752, 0.7528], [0.2500, 0.1267, 0.5839], [0.2500, 0.6221, 0.5809], [0.7500, 0.3779, 0.4191], [0.7500, 0.8779, 0.0809], [0.2500, 0.1221, 0.9191]], "density_g_cm3": 19.48, "n_ef_per_ev_cell": 10.53, "sg": "Pnma (62)", "magnetic_moment_mub_per_cell": 0.0}

=====

<x>
{"formula": "Ir2Ru", "functional": "SCAN", "state": "PBEsol geometry", "cell": [[-1.6730, -1.4852, -3.7003], [-3.3441, -2.2577, 2.4181], [-4.0643, 2.1605, 0.9704]], "species": ["Ir", "Ir", "Ir", "Ir", "Ru", "Ru"], "fractional_positions": [[0.2500, 0.4990, 0.8335], [0.7500, 0.5010, 0.1665], [0.2500, 0.1665, 0.5010], [0.7500, 0.8335, 0.4990], [0.2500, 0.8336, 0.1664], [0.7500, 0.1664, 0.8336]], "density_g_cm3": 19.46, "n_ef_per_ev_cell": 5.69, "sg": "Cmcm (63)", "magnetic_moment_mub_per_cell": 0.0}

=====

<y>
{"formula": "Ir2Ru", "functional": "SCAN", "state": "PBEsol geometry", "cell": [[-2.5656, 0.6419, 0.4991], [-0.8047, -1.7676, -1.8632], [1.4378, -3.5243, 4.6664]], "species": ["Ir", "Ir", "Ru"], "fractional_positions": [[0.3362, 0.3362, 0.6723], [0.6638, 0.6638, 0.3277], [0.0000, 0.0000, 0.0000]], "density_g_cm3": 19.48, "n_ef_per_ev_cell": 2.44, "sg": "I4/mmm (139)", "magnetic_moment_mub_per_cell": 0.0}

=====

<z>
{"formula": "Ir2Ru", "functional": "SCAN", "state": "PBEsol geometry", "cell": [[-1.8375, -1.6353, 1.0981], [1.9851, 1.0069, 1.5172], [-3.7632, 5.2122, 1.4648]], "species": ["Ru", "Ir", "Ir"], "fractional_positions": [[0.0000, 0.0000, 0.0000], [0.3333, 0.6667, 0.6721], [0.6667, 0.3333, 0.3279]], "density_g_cm3": 19.46, "n_ef_per_ev_cell": 2.58, "sg": "P-3m1 (164)", "magnetic_moment_mub_per_cell": 0.0}

=====

It is <x> that is the least stable of them.

=====

<w>
{"formula": "Ir2Ru", "functional": "SCAN", "state": "PBEsol geometry", "cell": [[2.6892, 0.0000, 0.0000], [0.0000, 3.8057, 0.0000], [-1.3446, -1.9028, 4.0431]], "species": ["Ru", "Ir", "Ir"], "fractional_positions": [[0.5000, 0.5000, 0.0000], [0.1650, 0.1650, 0.3301], [0.8350, 0.8350, 0.6699]], "density_g_cm3": 19.48, "n_ef_per_ev_cell": 2.43, "sg": "Immm (71)", "magnetic_moment_mub_per_cell": 0.0}

=====

<x>
{"formula": "Ir2Ru", "functional": "SCAN", "state": "PBEsol geometry", "cell": [[2.7128, 0.0000, 0.0000], [-1.3564, 4.9257, 0.0000], [0.0000, -1.5613, 6.2067]], "species": ["Ru", "Ru", "Ir", "Ir", "Ir", "Ir"], "fractional_positions": [[0.6946, 0.3893, 0.6373], [0.3054, 0.6107, 0.3627], [0.3597, 0.7194, 0.9697], [0.0293, 0.0585, 0.3098], [0.9707, 0.9415, 0.6902], [0.6403, 0.2806, 0.0303]], "density_g_cm3": 19.44, "n_ef_per_ev_cell": 5.39, "sg": "C2/m (12)", "magnetic_moment_mub_per_cell": 0.0}

=====

It is <x> that is the least stable of them.

=====

<w>
{"formula": "Ir5Ru", "functional": "SCAN", "state": "PBEsol geometry", "cell": [[-2.3219, -0.7797, -1.1372], [-1.1300, -0.2002, 2.4445], [-3.3586, 10.9570, -0.6551]], "species": ["Ir", "Ir", "Ir", "Ir", "Ir", "Ru"], "fractional_positions": [[0.5000, 0.5000, 0.3331], [0.0000, 0.0000, 0.1637], [0.5000, 0.5000, 0.6669], [0.0000, 0.0000, 0.8363], [0.0000, 0.0000, 0.5000], [0.5000, 0.5000, 0.0000]], "density_g_cm3": 21.07, "n_ef_per_ev_cell": 4.40, "sg": "P4/mmm (123)", "magnetic_moment_mub_per_cell": 0.0}

=====

<x>
{"formula": "Ir5Ru", "functional": "SCAN", "state": "PBEsol geometry", "cell": [[2.7204, 0.0000, 0.0000], [-1.3602, 4.9602, 0.0012], [0.0000, -1.6132, 6.2110]], "species": ["Ir", "Ir", "Ir", "Ir", "Ir", "Ru"], "fractional_positions": [[0.0574, 0.1148, 0.6148], [0.3870, 0.7740, 0.2739], [0.3327, 0.6654, 0.6684], [0.6666, 0.3332, 0.3324], [0.0007, 0.0015, 0.9992], [0.7222, 0.4445, 0.9447]], "density_g_cm3": 21.04, "n_ef_per_ev_cell": 5.93, "sg": "Cm (8)", "magnetic_moment_mub_per_cell": 0.0}

=====

It is <x> that is the least stable of them.